Computed, not measured: an optimized crystal structure of BaHg2Ir at the PBE level of DFT.

```
BaHg2Ir
1.0
5.204 0.000 0.000
0.000 5.204 0.000
0.000 0.000 18.861
Ba Hg Ir
4 8 4
Direct
0.000 0.000 0.000 Ba
0.000 0.500 0.250 Ba
0.500 0.000 0.750 Ba
0.500 0.500 0.500 Ba
0.090 0.250 0.625 Hg
0.250 0.590 0.875 Hg
0.250 0.910 0.375 Hg
0.410 0.250 0.125 Hg
0.590 0.750 0.125 Hg
0.750 0.090 0.375 Hg
0.750 0.410 0.875 Hg
0.910 0.750 0.625 Hg
0.000 0.000 0.500 Ir
0.000 0.500 0.750 Ir
0.500 0.000 0.250 Ir
0.500 0.500 0.000 Ir
```

Properties
**Symmetry**: I-42d (122)
**E**: -2.753 eV/atom
**Total moment**: 0.000 μB per formula unit
**D(E_F)**: 9.18 states/eV per cell

Computed, not measured: an optimized crystal structure of CrFeP at the PBE level of DFT.

```
CrFeP
1.0
3.817 0.000 0.000
-1.909 3.306 0.000
0.000 0.000 2.637
Cr Fe P
1 1 1
Direct
0.000 0.000 0.000 Cr
0.667 0.333 0.500 Fe
0.333 0.667 0.500 P
```

Properties
**Symmetry**: P-6m2 (187)
**E**: -8.110 eV/atom
**Total moment**: 0.956 μB per formula unit
**D(E_F)**: 2.78 states/eV per cell

Computed, not measured: an optimized crystal structure of In2Co2Cu at the PBE level of DFT.

```
In2Co2Cu
1.0
5.340 0.000 0.000
0.000 4.197 0.000
-2.506 0.000 7.140
In Co Cu
4 4 2
Direct
0.000 0.000 0.000 In
0.142 0.500 0.359 In
0.348 0.000 0.671 In
0.510 0.500 0.089 In
0.099 0.500 0.759 Co
0.413 0.000 0.319 Co
0.840 0.000 0.635 Co
0.844 0.000 0.312 Co
0.657 0.500 0.784 Cu
0.691 0.500 0.460 Cu
```

Properties
**Symmetry**: Pm (6)
**E**: -4.619 eV/atom
**Total moment**: 1.882 μB per formula unit
**D(E_F)**: 10.94 states/eV per cell

Computed, not measured: an optimized crystal structure of Ac2Be3Si4Ir at the PBE level of DFT.

```
Ac2Be3Si4Ir
1.0
4.163 0.000 0.000
0.000 4.163 0.000
0.000 0.000 10.123
Ac Be Si Ir
2 3 4 1
Direct
0.000 0.500 0.245 Ac
0.500 0.000 0.755 Ac
0.000 0.500 0.880 Be
0.500 0.000 0.120 Be
0.500 0.500 0.500 Be
0.000 0.000 0.000 Si
0.000 0.500 0.624 Si
0.500 0.000 0.376 Si
0.500 0.500 0.000 Si
0.000 0.000 0.500 Ir
```

Properties
**Symmetry**: P-4m2 (115)
**Formation energy from raw total energies**: -4.1 eV per formula unit
**Total moment**: 0.000 μB per formula unit
**D(E_F)**: 6.22 states/eV per cell

Computed, not measured: an optimized crystal structure of SmY2Au3 at the PBE level of DFT.

```
SmY2Au3
1.0
3.606 0.000 0.000
0.000 3.606 0.000
0.000 0.000 11.014
Sm Y Au
1 2 3
Direct
0.000 0.000 0.000 Sm
0.000 0.000 0.335 Y
0.000 0.000 0.665 Y
0.500 0.500 0.174 Au
0.500 0.500 0.500 Au
0.500 0.500 0.826 Au
```

Properties
**Symmetry**: P4/mmm (123)
**E**: -5.422 eV/atom
**Total moment**: 0.000 μB per formula unit
**D(E_F)**: 2.32 states/eV per cell

Computed, not measured: an optimized crystal structure of Pm3LuC at the PBE level of DFT.

```
Pm3LuC
1.0
5.179 0.000 0.000
0.000 5.179 0.000
0.000 0.000 5.179
Pm Lu C
3 1 1
Direct
0.000 0.000 0.500 Pm
0.000 0.500 0.000 Pm
0.500 0.000 0.000 Pm
0.500 0.500 0.500 Lu
0.000 0.000 0.000 C
```

Properties
**Symmetry**: Pm-3m (221)
**E**: -5.530 eV/atom
**Total moment**: 0.012 μB per formula unit
**D(E_F)**: 6.90 states/eV per cell

Computed, not measured: an optimized crystal structure of PuRu2Rh at the PBE level of DFT.

```
PuRu2Rh
1.0
4.072 0.000 0.000
0.000 4.072 0.000
0.000 0.000 3.898
Pu Ru Rh
1 2 1
Direct
0.000 0.000 0.000 Pu
0.000 0.500 0.500 Ru
0.500 0.000 0.500 Ru
0.500 0.500 0.000 Rh
```

Properties
**Symmetry**: P4/mmm (123)
**E**: -10.189 eV/atom
**Total moment**: 2.805 μB per formula unit
**D(E_F)**: 8.93 states/eV per cell

Computed, not measured: an optimized crystal structure of SrAsP3 at the PBE level of DFT.

```
SrAsP3
1.0
4.861 0.000 0.000
0.000 4.861 0.000
0.000 0.000 4.861
Sr As P
1 1 3
Direct
0.000 0.000 0.000 Sr
0.500 0.500 0.500 As
0.000 0.500 0.500 P
0.500 0.000 0.500 P
0.500 0.500 0.000 P
```

Properties
**Symmetry**: Pm-3m (221)
**E**: -4.325 eV/atom
**Total moment**: 0.000 μB per formula unit
**D(E_F)**: 4.95 states/eV per cell

Computed, not measured: an optimized crystal structure of TbHo3Mg2 at the PBE level of DFT.

```
TbHo3Mg2
1.0
3.625 0.000 0.000
0.000 3.625 0.000
0.000 0.000 13.048
Tb Ho Mg
1 3 2
Direct
0.000 0.000 0.000 Tb
0.500 0.500 0.188 Ho
0.500 0.500 0.500 Ho
0.500 0.500 0.812 Ho
0.000 0.000 0.346 Mg
0.000 0.000 0.654 Mg
```

Properties
**Symmetry**: P4/mmm (123)
**E**: -3.629 eV/atom
**Total moment**: 0.000 μB per formula unit
**D(E_F)**: 7.53 states/eV per cell

Computed, not measured: an optimized crystal structure of La4Pt at the PBE level of DFT.

```
La4Pt
1.0
4.059 0.000 0.000
0.000 4.059 0.000
0.000 0.000 20.155
La Pt
8 2
Direct
0.000 0.000 0.077 La
0.000 0.000 0.923 La
0.000 0.500 0.250 La
0.000 0.500 0.750 La
0.500 0.000 0.250 La
0.500 0.000 0.750 La
0.500 0.500 0.423 La
0.500 0.500 0.577 La
0.000 0.000 0.500 Pt
0.500 0.500 0.000 Pt
```

Properties
**Symmetry**: I4/mmm (139)
**E**: -5.123 eV/atom
**Total moment**: 0.000 μB per formula unit
**D(E_F)**: 9.45 states/eV per cell

Computed, not measured: an optimized crystal structure of Pr3Nd7Mg at the PBE level of DFT.

```
Pr3Nd7Mg
1.0
7.207 0.000 0.000
-3.604 6.242 0.000
0.000 0.000 8.856
Pr Nd Mg
3 7 1
Direct
0.168 0.335 0.000 Pr
0.168 0.832 0.000 Pr
0.665 0.832 0.000 Pr
0.004 0.502 0.665 Nd
0.333 0.166 0.338 Nd
0.333 0.667 0.334 Nd
0.498 0.502 0.665 Nd
0.498 0.996 0.665 Nd
0.834 0.166 0.338 Nd
0.834 0.667 0.338 Nd
0.000 0.000 0.662 Mg
```

Properties
**Symmetry**: P3m1 (156)
**E**: -4.322 eV/atom
**Total moment**: 0.000 μB per formula unit
**D(E_F)**: 16.10 states/eV per cell

Computed, not measured: an optimized crystal structure of Ce2ZrH at the PBE level of DFT.

```
Ce2ZrH
1.0
3.148 0.000 0.000
-1.574 2.726 0.000
0.000 0.000 27.760
Ce Zr H
6 3 3
Direct
0.000 0.000 0.108 Ce
0.000 0.000 0.892 Ce
0.333 0.667 0.559 Ce
0.333 0.667 0.775 Ce
0.667 0.333 0.225 Ce
0.667 0.333 0.441 Ce
0.000 0.000 0.000 Zr
0.333 0.667 0.667 Zr
0.667 0.333 0.333 Zr
0.000 0.000 0.500 H
0.333 0.667 0.167 H
0.667 0.333 0.833 H
```

Properties
**Symmetry**: R-3m (166)
**E**: -5.895 eV/atom
**Total moment**: 0.005 μB per formula unit
**D(E_F)**: 23.28 states/eV per cell

Which value of D(E_F) does entry 2 give? 2.78 states/eV per cell

D(E_F) of number 7 (PuRu2Rh)? 8.93 states/eV per cell